Material: Na3NCl
Method: DFT, PBE
State: relaxed

```
5
Lattice="4.6981 0.0000 0.0000 0.0000 4.6981 0.0000 0.0000 0.0000 4.6981" Properties=species:S:1:pos:R:3 pbc="T T T"
Na 0.0000 0.0000 2.3490
Na 0.0000 2.3490 0.0000
Na 2.3490 0.0000 0.0000
N 0.0000 0.0000 0.0000
Cl 2.3490 2.3490 2.3490
```

Output
**Distance to the lowest polymorph of the same formula**: 0 meV per atom
**Formation energy (no corrections)**: -0.355 eV per atom
**Raw total energy**: -15.9 eV for the cell shown